Ce3Pu3Ru2 | the Alexandria database | PBE-GGA | relaxed; total moment = 22.580 μB per cell
1.0
8.088 0.000 0.000
0.000 15.962 0.000
0.000 0.000 5.754
Ce Pu Ru
12 12 8
direct
0.018 0.114 0.075
0.018 0.386 0.075
0.192 0.250 0.660
0.308 0.750 0.160
0.482 0.614 0.575
0.482 0.886 0.575
0.518 0.114 0.425
0.518 0.386 0.425
0.692 0.250 0.840
0.808 0.750 0.340
0.982 0.614 0.925
0.982 0.886 0.925
0.147 0.750 0.736
0.180 0.061 0.510
0.180 0.439 0.510
0.320 0.561 0.010
0.320 0.939 0.010
0.353 0.250 0.236
0.647 0.750 0.764
0.680 0.061 0.990
0.680 0.439 0.990
0.820 0.561 0.490
0.820 0.939 0.490
0.853 0.250 0.264
0.158 0.606 0.431
0.158 0.894 0.431
0.342 0.106 0.931
0.342 0.394 0.931
0.658 0.606 0.069
0.658 0.894 0.069
0.842 0.106 0.569
0.842 0.394 0.569


Ce14Pu3Ru6 | the Alexandria database | PBE-GGA | relaxed; total moment = 3.327 μB per cell
1.0
9.869 0.000 0.000
-4.935 8.547 0.000
0.000 0.000 6.252
Ce Pu Ru
14 3 6
direct
0.000 0.000 0.000
0.063 0.532 0.762
0.206 0.413 0.232
0.206 0.794 0.232
0.297 0.149 0.556
0.363 0.182 0.062
0.468 0.532 0.762
0.468 0.937 0.762
0.587 0.794 0.232
0.667 0.333 0.518
0.818 0.182 0.062
0.818 0.637 0.062
0.851 0.149 0.556
0.851 0.703 0.556
0.000 0.000 0.415
0.333 0.667 0.548
0.667 0.333 0.934
0.149 0.298 0.725
0.149 0.851 0.725
0.516 0.032 0.251
0.516 0.484 0.251
0.702 0.851 0.725
0.968 0.484 0.251


Ce5PuRu6 | the Alexandria database | PBE-GGA | relaxed; total moment = 4.589 μB per cell
1.0
4.272 -7.293 0.000
4.272 7.293 0.000
-2.537 0.000 3.921
Ce Pu Ru
5 1 6
direct
0.000 0.000 0.000
0.167 0.833 0.500
0.335 0.665 0.000
0.665 0.335 0.000
0.833 0.167 0.500
0.500 0.500 0.500
0.055 0.383 0.221
0.283 0.283 0.781
0.383 0.055 0.221
0.617 0.945 0.779
0.717 0.717 0.219
0.945 0.617 0.779


CePuRu | the Alexandria database | PBE-GGA | relaxed; total moment = 5.169 μB per cell
1.0
4.748 0.000 0.000
-2.374 4.112 0.000
0.000 0.000 3.059
Ce Pu Ru
1 1 1
direct
0.000 0.000 0.000
0.333 0.667 0.000
0.667 0.333 0.500


Q: Which ΔH_f (0 K) values were calculated for the entries above? A: -0.8; -4.5; -3.3; -0.1, in eV per formula unit.